Material: Ac2AlMoO6
Method: DFT, GGA+U
State: optimized geometry

Cell and atoms, written as CIF:
```
data_Ac2AlMoO6
_cell_length_a 5.648
_cell_length_b 5.648
_cell_length_c 4.102
_cell_angle_alpha 90.00
_cell_angle_beta 90.00
_cell_angle_gamma 90.00
_space_group_name_H-M_alt 'P 4/m m m'
_space_group_IT_number 123
_space_group_name_Hall '-P 4 2'
loop_
_atom_site_label
_atom_site_type_symbol
_atom_site_fract_x
_atom_site_fract_y
_atom_site_fract_z
Ac1 Ac 0.000 0.500 0.000
Al1 Al 0.000 0.000 0.500
Mo1 Mo 0.500 0.500 0.500
O1 O 0.000 0.000 0.000
O2 O 0.236 0.236 0.500
O3 O 0.500 0.500 0.000
```

Material: AcAlMo2O8
Method: DFT, GGA+U
State: optimized geometry

Cell and atoms, written as CIF:
```
data_AcAlMo2O8
_cell_length_a 5.7306
_cell_length_b 5.7306
_cell_length_c 6.6908
_cell_angle_alpha 90.00
_cell_angle_beta 90.00
_cell_angle_gamma 120.00
_space_group_name_H-M_alt 'P -3 m 1'
_space_group_IT_number 164
_space_group_name_Hall '-P 3 2"'
loop_
_atom_site_label
_atom_site_type_symbol
_atom_site_fract_x
_atom_site_fract_y
_atom_site_fract_z
Ac1 Ac 0.0000 0.0000 0.0000
Al1 Al 0.0000 0.0000 0.5000
Mo1 Mo 0.3333 0.6667 0.2583
O1 O 0.1493 0.2985 0.3218
O2 O 0.3333 0.6667 0.9858
```

Material: AcAl2MoO8
Method: DFT, GGA+U
State: optimized geometry

Cell and atoms, written as CIF:
```
data_AcAl2MoO8
_cell_length_a 6.650
_cell_length_b 6.357
_cell_length_c 7.193
_cell_angle_alpha 90.00
_cell_angle_beta 92.93
_cell_angle_gamma 90.00
_space_group_name_H-M_alt 'C 1 2/m 1'
_space_group_IT_number 12
_space_group_name_Hall '-C 2y'
loop_
_atom_site_label
_atom_site_type_symbol
_atom_site_fract_x
_atom_site_fract_y
_atom_site_fract_z
Ac1 Ac 0.000 0.000 0.000
Al1 Al 0.028 0.500 0.689
Mo1 Mo 0.000 0.000 0.500
O1 O 0.001 0.206 0.695
O2 O 0.142 0.500 0.926
O3 O 0.197 0.500 0.491
```

Total moment in Bohr magnetons per cell, matching the order above: 3.0; 2.0; 2.0
Total DFT energy (no corrections) in eV/atom, matching the order above: -7.728; -7.265; -7.187